Record 1
NaIn2CoCl6: optimized geometry, PBE.

## Properties
- Total magnetization: 0.03 μB per formula unit
- Total energy: -134.505 eV per cell

Unit cell a=9.9088 b=9.9088 c=9.9088 alpha=90.00 beta=90.00 gamma=90.00
Space group Fm-3m (No. 225)
One atom of each set of equivalent atoms:
Na 0.0000 0.0000 0.0000 (multiplicity 4)
In 0.2500 0.2500 0.2500 (multiplicity 8)
Co 0.0000 0.0000 0.5000 (multiplicity 4)
Cl 0.0000 0.0000 0.2724 (multiplicity 24)

---

Record 2
Rb2InCoCl6: optimized geometry, PBE.

## Properties
- Total magnetization: 2.15 μB per formula unit
- Total energy: -140.585 eV per cell

Unit cell a=10.1907 b=10.1907 c=10.1907 alpha=90.00 beta=90.00 gamma=90.00
Space group Fm-3m (No. 225)
One atom of each set of equivalent atoms:
Rb 0.2500 0.2500 0.2500 (multiplicity 8)
In 0.0000 0.0000 0.0000 (multiplicity 4)
Co 0.0000 0.0000 0.5000 (multiplicity 4)
Cl 0.0000 0.0000 0.2606 (multiplicity 24)

---

Record 3
K2CoCl4: optimized geometry, PBE.

## Properties
- Total magnetization: 3.00 μB per formula unit
- Total energy: -105.568 eV per cell

Unit cell a=6.7870 b=9.5717 c=12.7037 alpha=90.00 beta=106.93 gamma=90.00
Space group P2_1/c (No. 14)
One atom of each set of equivalent atoms:
K 0.0962 0.0960 0.3352 (multiplicity 4)
K 0.2758 0.6447 0.5067 (multiplicity 4)
Co 0.3828 0.1464 0.6802 (multiplicity 4)
Cl 0.1997 0.1632 0.1006 (multiplicity 4)
Cl 0.2767 0.6882 0.7792 (multiplicity 4)
Cl 0.2868 0.1004 0.8334 (multiplicity 4)
Cl 0.2940 0.5391 0.0680 (multiplicity 4)

---

Record 4
LiTl2CoCl6: optimized geometry, PBE.

## Properties
- Total magnetization: 0.00 μB per formula unit
- Total energy: -68.677 eV per cell

Unit cell a=11.8932 b=6.8681 c=6.8671 alpha=90.00 beta=125.26 gamma=90.00
Space group C2/m (No. 12)
One atom of each set of equivalent atoms:
Li 0.0000 0.0000 0.0000 (multiplicity 2)
Tl 0.2499 0.0000 0.7500 (multiplicity 4)
Co 0.0000 0.5000 0.5000 (multiplicity 2)
Cl 0.0005 0.2660 0.2664 (multiplicity 8)
Cl 0.2340 0.5000 0.7348 (multiplicity 4)

---

Record 5
Na2CoCl4: optimized geometry, PBE.

## Properties
- Total magnetization: 3.01 μB per formula unit
- Energy above the most stable polymorph in this dataset: 0 meV/atom
- Total energy: -104.364 eV per cell

Unit cell a=13.6678 b=8.0699 c=6.3767 alpha=90.00 beta=90.00 gamma=90.00
Space group Pnma (No. 62)
One atom of each set of equivalent atoms:
Na 0.0000 0.0000 0.0000 (multiplicity 4)
Na 0.2299 0.2500 0.4807 (multiplicity 4)
Co 0.0908 0.7500 0.4015 (multiplicity 4)
Cl 0.0630 0.2500 0.7340 (multiplicity 4)
Cl 0.0899 0.7500 0.7538 (multiplicity 4)
Cl 0.1666 0.5287 0.2539 (multiplicity 8)

---

Record 6
Na2CoCl4: optimized geometry, PBE.

## Properties
- Total magnetization: 1.00 μB per formula unit
- Energy above the most stable polymorph in this dataset: 115 meV/atom
- Total energy: -101.153 eV per cell

Unit cell a=9.5379 b=9.5379 c=7.3955 alpha=90.00 beta=90.00 gamma=90.00
Space group P4/ncc (No. 130, origin choice 2)
One atom of each set of equivalent atoms:
Na 0.0560 0.5560 0.2500 (multiplicity 8)
Co 0.2500 0.2500 0.0652 (multiplicity 4)
Cl 0.0223 0.1990 0.5682 (multiplicity 16)

---

Record 7
NaTl2CoCl6: optimized geometry, PBE.

## Properties
- Total magnetization: 0.01 μB per formula unit
- Total energy: -101.535 eV per cell

Unit cell a=7.0102 b=7.0102 c=17.2916 alpha=90.00 beta=90.00 gamma=120.00
Space group R-3 (No. 148, hexagonal axes)
One atom of each set of equivalent atoms:
Na 0.0000 0.0000 0.0000 (multiplicity 3)
Tl 0.0000 0.0000 0.2519 (multiplicity 6)
Co 0.0000 0.0000 0.5000 (multiplicity 3)
Cl 0.0295 0.5125 0.2419 (multiplicity 18)

---

Record 8
Nb4CoCl: optimized geometry, PBE.

## Properties
- Total magnetization: 0.64 μB per formula unit
- Total energy: -138.244 eV per cell

Unit cell a=4.3427 b=4.3427 c=19.1669 alpha=90.00 beta=90.00 gamma=120.00
Space group R-3m (No. 166, hexagonal axes)
One atom of each set of equivalent atoms:
Nb 0.0000 0.0000 0.1276 (multiplicity 6)
Nb 0.0000 0.0000 0.3691 (multiplicity 6)
Co 0.0000 0.0000 0.5000 (multiplicity 3)
Cl 0.0000 0.0000 0.0000 (multiplicity 3)

---

Record 9
Nd4CoCl5: optimized geometry, PBE.

## Properties
- Total magnetization: 0.01 μB per formula unit
- Total energy: -102.493 eV per cell

Unit cell a=18.6037 b=3.9734 c=8.3988 alpha=90.00 beta=106.04 gamma=90.00
Space group C2/m (No. 12)
One atom of each set of equivalent atoms:
Nd 0.0023 0.0000 0.2818 (multiplicity 4)
Nd 0.1534 0.5000 0.6068 (multiplicity 4)
Co 0.0000 0.5000 0.5000 (multiplicity 2)
Cl 0.0000 0.5000 0.0000 (multiplicity 2)
Cl 0.1648 0.0000 0.8525 (multiplicity 4)
Cl 0.1728 0.0000 0.3695 (multiplicity 4)

---

Record 10
NdCo3Cl2: optimized geometry, PBE.

## Properties
- Total magnetization: 4.23 μB per formula unit
- Total energy: -28.745 eV per cell

Unit cell a=4.5003 b=4.5003 c=5.7622 alpha=90.00 beta=90.00 gamma=90.00
Space group P-4m2 (No. 115)
One atom of each set of equivalent atoms:
Nd 0.0000 0.0000 0.0000 (multiplicity 1)
Co 0.0000 0.5000 0.2289 (multiplicity 2)
Co 0.5000 0.5000 0.0000 (multiplicity 1)
Cl 0.0000 0.5000 0.6098 (multiplicity 2)